Here is Sr2LaGeN after structural relaxation from Alexandria via LeMat-Bulk. Energies are from PBE.

Properties
Its space group is P4/mmm, No. 123. The value obtained for the magnetic moment is 0.00 μB per cell. The formation energy without anion corrections comes out at -0.753 eV per atom. The electronic total energy comes out at -25.0 eV for the cell shown.

The structure in extended XYZ format:
```
5
Lattice="5.154 0.000 0.000 0.000 5.154 0.000 0.000 0.000 5.019" Properties=species:S:1:pos:R:3 pbc="T T T"
Sr 0.000 2.577 0.000
Sr 2.577 0.000 0.000
La 0.000 0.000 2.510
Ge 2.577 2.577 2.510
N 0.000 0.000 0.000
```